No. 1
## LiPrPtO (GGA-PBE)

Data for a relaxed structure of LiPrPtO.

Cell: 4.023 4.023 9.066 Å, 90.00 90.00 90.00°
Space group P4/nmm (No. 129, origin choice 2)
Asymmetric unit:
Li 0.250 0.750 0.000
Pr 0.250 0.250 0.364
Pt 0.250 0.250 0.820
O 0.250 0.750 0.500

The total magnetization is 0.0 μB/cell. For the formation energy from raw total energies, the calculation gives -1.647 eV per atom. The volume is 18.3 Å³ per atom.

No. 2
## LiPr2PtO5 (GGA-PBE)

Data for a relaxed structure of LiPr2PtO5.

Cell: 6.883 6.883 5.839 Å, 90.00 90.00 90.00°
Space group P4/mbm (No. 127)
Asymmetric unit:
Li 0.000 0.000 0.000
Pr 0.177 0.323 0.500
Pt 0.000 0.500 0.000
O 0.000 0.000 0.500
O 0.135 0.635 0.251

The total magnetization is 2.0 μB/cell. For the formation energy from raw total energies, the calculation gives -2.123 eV per atom. The volume is 15.4 Å³ per atom.

No. 3
## LiPr2PtO6 (GGA-PBE)

Data for a relaxed structure of LiPr2PtO6.

Cell: 5.494 5.881 9.507 Å, 90.00 124.80 90.00°
Space group P2_1/c (No. 14)
Asymmetric unit:
Li 0.000 0.000 0.000
Pr 0.231 0.073 0.749
Pt 0.500 0.000 0.500
O 0.152 0.190 0.451
O 0.268 0.709 0.450
O 0.347 0.027 0.252

The total magnetization is 0.2 μB/cell. For the formation energy from raw total energies, the calculation gives -2.186 eV per atom. The volume is 12.6 Å³ per atom.

no.,final energy (eV per cell)
1,-48.56
2,-122.82
3,-138.24